YMnO3: relaxed, PBE+U.

Calculated values
SG = Pm-3m
VASP energy = -7.25 eV per atom

Lattice parameters (Å, degrees): 4.273 4.273 4.273 90.00 90.00 90.00
Fractional positions:
Y  0.000  0.000  0.000
Mn  0.500  0.500  0.500
O  0.000  0.000  0.500
O  0.000  0.500  0.000
O  0.500  0.000  0.000